A relaxed structure of Y2MnAl4Pt3, computed with PBE-GGA.

Calculated values
Total energy   -6.448 eV/atom
N(E_F)   5.16 states/eV/cell
Formation energy   -929 meV/atom
Space group   No. 115

abc: 4.1079 4.1079 10.9118
angles: 90.00 90.00 90.00
Element x y z (fractional)
Y (0.5000, 0.0000, 0.2529)
Y (0.0000, 0.5000, 0.7471)
Al (0.0000, 0.0000, 0.0000)
Al (0.5000, 0.0000, 0.6345)
Al (0.5000, 0.5000, 0.0000)
Al (0.0000, 0.5000, 0.3655)
Pt (0.5000, 0.0000, 0.8633)
Pt (0.0000, 0.5000, 0.1367)
Pt (0.0000, 0.0000, 0.5000)
Mn (0.5000, 0.5000, 0.5000)


A relaxed structure of Dy2ScCd6, computed with PBE-GGA.

Calculated values
Total energy   -2.617 eV/atom
N(E_F)   7.65 states/eV/cell
Formation energy   -281 meV/atom
Space group   No. 191

abc: 3.3524 8.5646 8.5646
angles: 120.00 90.00 90.00
Element x y z (fractional)
Dy (0.0000, 0.3333, 0.6667)
Dy (0.0000, 0.6667, 0.3333)
Cd (0.5000, 0.6703, 0.0000)
Cd (0.5000, 0.0000, 0.3297)
Cd (0.5000, 0.3297, 0.3297)
Cd (0.5000, 0.0000, 0.6703)
Cd (0.5000, 0.3297, 0.0000)
Cd (0.5000, 0.6703, 0.6703)
Sc (0.0000, 0.0000, 0.0000)


A relaxed structure of NpHg3Se2Cl6, computed with PBE-GGA.

Calculated values
Raw formation energy   -0.911 eV/atom
Total energy   -3.568 eV/atom
N(E_F)   5.06 states/eV/cell
Space group   No. 12

abc: 6.9045 7.6754 8.9093
angles: 115.52 115.60 90.00
Element x y z (fractional)
Hg (0.5000, 0.0000, 0.5000)
Hg (0.5000, 0.5000, 0.5000)
Hg (0.0000, 0.5000, 0.0000)
Cl (0.2565, 0.6421, 0.7727)
Cl (0.7435, 0.8694, 0.2273)
Cl (0.2589, 0.0882, 0.1764)
Cl (0.7411, 0.9118, 0.8236)
Cl (0.7435, 0.3579, 0.2273)
Cl (0.2565, 0.1306, 0.7727)
Se (0.2152, 0.6819, 0.3637)
Se (0.7848, 0.3181, 0.6363)
Np (0.5000, 0.0000, 0.0000)